[1]
Rb3CrAs2O8 | PBE+U | optimized geometry

a = 5.6934 Å, b = 5.6934 Å, c = 8.2795 Å
α = 90.00°, β = 90.00°, γ = 120.00°
Positions (direct):
Rb1 0.0000 0.0000 0.0000
Rb2 0.3333 0.6667 0.7585
Rb3 0.6667 0.3333 0.2415
Cr1 0.0000 0.0000 0.5000
As1 0.3333 0.6667 0.2939
As2 0.6667 0.3333 0.7061
O1 0.1648 0.3296 0.3516
O2 0.1648 0.8352 0.3516
O3 0.3296 0.1648 0.6484
O4 0.3333 0.6667 0.0891
O5 0.6667 0.3333 0.9109
O6 0.6704 0.8352 0.3516
O7 0.8352 0.1648 0.6484
O8 0.8352 0.6704 0.6484

Summary:
E_tot = -5.842 eV per atom
V = 16.601 A^3/atom
N(E_F) = 0.00 states/eV/f.u.
mass density = 4.188 g/cm³
M_tot = 0.210 μB per atom



[2]
RbCrAsO6 | PBE+U | optimized geometry

a = 4.9864 Å, b = 4.9864 Å, c = 6.3856 Å
α = 90.00°, β = 90.00°, γ = 120.00°
Positions (direct):
Rb1 0.0000 0.0000 0.0000
Cr1 0.3333 0.6667 0.5169
As1 0.6667 0.3333 0.4644
O1 0.0102 0.6028 0.3204
O2 0.3930 0.0033 0.6514
O3 0.3972 0.4074 0.3204
O4 0.5926 0.9898 0.3204
O5 0.6103 0.6070 0.6514
O6 0.9967 0.3897 0.6514

Summary:
E_tot = -5.976 eV per atom
V = 15.278 A^3/atom
mass density = 3.724 g/cm³
M_tot = 0.010 μB per atom



[3]
RbCr2As2O6 | PBE+U | optimized geometry

a = 5.7217 Å, b = 6.4240 Å, c = 7.0091 Å
α = 66.20°, β = 73.52°, γ = 68.66°
Positions (direct):
Rb1 0.0000 0.0000 0.0000
Cr1 0.2723 0.9580 0.4485
Cr2 0.7277 0.0420 0.5515
As1 0.2030 0.4727 0.5718
As2 0.7970 0.5273 0.4282
O1 0.0325 0.8326 0.6775
O2 0.3271 0.6858 0.3476
O3 0.3670 0.2070 0.4895
O4 0.6330 0.7930 0.5105
O5 0.6729 0.3142 0.6524
O6 0.9675 0.1674 0.3225

Summary:
E_tot = -6.352 eV per atom
V = 19.700 A^3/atom
N(E_F) = 1.97 states/eV/f.u.
mass density = 3.336 g/cm³
M_tot = 0.524 μB per atom



[4]
RbCrAs2O8 | PBE+U | optimized geometry

a = 9.3143 Å, b = 9.3143 Å, c = 9.3143 Å
α = 33.80°, β = 33.80°, γ = 33.80°
Positions (direct):
Rb1 0.0000 0.0000 0.0000
Cr1 0.5000 0.5000 0.5000
As1 0.2320 0.2320 0.2320
As2 0.7680 0.7680 0.7680
O1 0.1352 0.6164 0.6164
O2 0.2957 0.2957 0.2957
O3 0.3836 0.3836 0.8648
O4 0.3836 0.8648 0.3836
O5 0.6164 0.1352 0.6164
O6 0.6164 0.6164 0.1352
O7 0.7043 0.7043 0.7043
O8 0.8648 0.3836 0.3836

Summary:
E_tot = -5.953 eV per atom
V = 18.572 A^3/atom
N(E_F) = 9.47 states/eV/f.u.
mass density = 3.094 g/cm³
M_tot = 0.078 μB per atom



[5]
CrAsS2O | PBE+U | optimized geometry

a = 4.3381 Å, b = 4.3381 Å, c = 4.2394 Å
α = 90.00°, β = 90.00°, γ = 90.00°
Positions (direct):
Cr1 0.0000 0.0000 0.0000
As1 0.5000 0.5000 0.0000
S1 0.0000 0.5000 0.5000
S2 0.5000 0.0000 0.5000
O1 0.5000 0.5000 0.5000

Summary:
E_tot = -4.132 eV per atom
V = 15.956 A^3/atom
N(E_F) = 3.47 states/eV/f.u.
mass density = 4.309 g/cm³
M_tot = 0.118 μB per atom



[6]
CrSbAsO5 | PBE+U | optimized geometry

a = 6.3179 Å, b = 6.3179 Å, c = 6.9188 Å
α = 103.10°, β = 103.10°, γ = 115.65°
Positions (direct):
Cr1 0.0000 0.0000 0.0000
Cr2 0.0000 0.0000 0.5000
Sb1 0.2802 0.7198 0.7500
Sb2 0.7198 0.2802 0.2500
As1 0.3464 0.6536 0.2500
As2 0.6536 0.3464 0.7500
O1 0.0985 0.9015 0.7500
O2 0.1312 0.6389 0.3801
O3 0.2342 0.3761 0.0485
O4 0.3611 0.8688 0.1199
O5 0.3761 0.2342 0.5485
O6 0.6239 0.7658 0.4515
O7 0.6389 0.1312 0.8801
O8 0.7658 0.6239 0.9515
O9 0.8688 0.3611 0.6199
O10 0.9015 0.0985 0.2500

Summary:
E_tot = -6.497 eV per atom
V = 14.080 A^3/atom
mass density = 4.845 g/cm³
M_tot = 0.500 μB per atom



[7]
ScCrAsO6 | PBE+U | optimized geometry

a = 4.5880 Å, b = 4.5880 Å, c = 9.0407 Å
α = 90.00°, β = 90.00°, γ = 90.00°
Positions (direct):
Sc1 0.0000 0.0000 0.0000
Sc2 0.5000 0.5000 0.5000
Cr1 0.0000 0.0000 0.3288
Cr2 0.5000 0.5000 0.8288
As1 0.0000 0.0000 0.6628
As2 0.5000 0.5000 0.1628
O1 0.1809 0.1809 0.5028
O2 0.1987 0.1987 0.8155
O3 0.2121 0.2121 0.1712
O4 0.2879 0.7121 0.6712
O5 0.3013 0.6987 0.3155
O6 0.3191 0.6809 0.0028
O7 0.6809 0.3191 0.0028
O8 0.6987 0.3013 0.3155
O9 0.7121 0.2879 0.6712
O10 0.7879 0.7879 0.1712
O11 0.8013 0.8013 0.8155
O12 0.8191 0.8191 0.5028

Summary:
E_tot = -7.278 eV per atom
V = 10.573 A^3/atom
N(E_F) = 0.23 states/eV/f.u.
mass density = 4.675 g/cm³
M_tot = 0.222 μB per atom



[8]
Sc2CrAsO | PBE+U | optimized geometry

a = 5.0399 Å, b = 5.0399 Å, c = 4.7403 Å
α = 90.00°, β = 90.00°, γ = 90.00°
Positions (direct):
Sc1 0.0000 0.5000 0.0000
Sc2 0.5000 0.0000 0.0000
Cr1 0.0000 0.0000 0.5000
As1 0.0000 0.0000 0.0000
O1 0.5000 0.5000 0.5000

Summary:
E_tot = -5.809 eV per atom
V = 24.082 A^3/atom
N(E_F) = 5.78 states/eV/f.u.
mass density = 3.211 g/cm³
M_tot = 1.077 μB per atom



[9]
ScCrAsO5 | PBE+U | optimized geometry

a = 5.5649 Å, b = 5.5649 Å, c = 7.5010 Å
α = 102.31°, β = 102.31°, γ = 109.14°
Positions (direct):
Sc1 0.0000 0.0000 0.0000
Sc2 0.0000 0.0000 0.5000
Cr1 0.3092 0.6908 0.7500
Cr2 0.6908 0.3092 0.2500
As1 0.3171 0.6829 0.2500
As2 0.6829 0.3171 0.7500
O1 0.0525 0.6517 0.3445
O2 0.0923 0.9077 0.7500
O3 0.2665 0.4066 0.0716
O4 0.3483 0.9475 0.1555
O5 0.4066 0.2665 0.5716
O6 0.5934 0.7335 0.4284
O7 0.6517 0.0525 0.8445
O8 0.7335 0.5934 0.9284
O9 0.9077 0.0923 0.2500
O10 0.9475 0.3483 0.6555

Summary:
E_tot = -7.446 eV per atom
V = 12.755 A^3/atom
N(E_F) = 0.00 states/eV/f.u.
mass density = 4.099 g/cm³
M_tot = 0.500 μB per atom



[10]
SmCrAsO5 | PBE+U | optimized geometry

a = 5.7965 Å, b = 5.7965 Å, c = 8.1102 Å
α = 100.10°, β = 100.10°, γ = 112.32°
Positions (direct):
Sm1 0.0000 0.0000 0.0000
Sm2 0.0000 0.0000 0.5000
Cr1 0.3078 0.6922 0.7500
Cr2 0.6922 0.3078 0.2500
As1 0.3109 0.6891 0.2500
As2 0.6891 0.3109 0.7500
O1 0.0312 0.6444 0.3202
O2 0.1072 0.8928 0.7500
O3 0.2743 0.4469 0.0802
O4 0.3556 0.9688 0.1798
O5 0.4469 0.2743 0.5802
O6 0.5531 0.7257 0.4198
O7 0.6444 0.0312 0.8202
O8 0.7257 0.5531 0.9198
O9 0.8928 0.1072 0.2500
O10 0.9688 0.3556 0.6798

Summary:
E_tot = -7.207 eV per atom
V = 14.953 A^3/atom
mass density = 4.959 g/cm³
M_tot = 0.500 μB per atom



[11]
SrCrAsO5 | PBE+U | optimized geometry

a = 5.7650 Å, b = 5.7650 Å, c = 7.2575 Å
α = 103.96°, β = 103.96°, γ = 106.04°
Positions (direct):
Sr1 0.1729 0.8271 0.7500
Sr2 0.8271 0.1729 0.2500
Cr1 0.5000 0.5000 0.0000
Cr2 0.5000 0.5000 0.5000
As1 0.1865 0.8135 0.2500
As2 0.8135 0.1865 0.7500
O1 0.1104 0.2561 0.9219
O2 0.1893 0.6059 0.3870
O3 0.2561 0.1104 0.4219
O4 0.3941 0.8107 0.1130
O5 0.4292 0.5708 0.7500
O6 0.5708 0.4292 0.2500
O7 0.6059 0.1893 0.8870
O8 0.7439 0.8896 0.5781
O9 0.8107 0.3941 0.6130
O10 0.8896 0.7439 0.0781

Summary:
E_tot = -6.804 eV per atom
V = 13.271 A^3/atom
mass density = 4.607 g/cm³
M_tot = 0.375 μB per atom



[12]
SrCr2AsO6 | PBE+U | optimized geometry

a = 5.5629 Å, b = 5.5629 Å, c = 5.4586 Å
α = 119.36°, β = 119.36°, γ = 88.50°
Positions (direct):
Sr1 0.0000 0.0000 0.0000
Cr1 0.2777 0.7417 0.5066
Cr2 0.7417 0.2777 0.5066
As1 0.3320 0.3320 0.8378
O1 0.0086 0.0086 0.5236
O2 0.0631 0.4853 0.0104
O3 0.0956 0.4656 0.5416
O4 0.4656 0.0956 0.5416
O5 0.4853 0.0631 0.0104
O6 0.5907 0.5907 0.5358

Summary:
E_tot = -6.952 eV per atom
V = 12.310 A^3/atom
mass density = 4.890 g/cm³
M_tot = 0.503 μB per atom



[13]
TaCrAs2O8 | PBE+U | optimized geometry

a = 5.7309 Å, b = 5.7309 Å, c = 5.7309 Å
α = 107.88°, β = 107.88°, γ = 112.69°
Positions (direct):
Ta1 0.0000 0.0000 0.0000
Cr1 0.2500 0.7500 0.5000
As1 0.5000 0.5000 0.0000
As2 0.7500 0.2500 0.5000
O1 0.3067 0.1239 0.8171
O2 0.3067 0.4896 0.1829
O3 0.3564 0.0656 0.2909
O4 0.5104 0.6933 0.8171
O5 0.7747 0.0656 0.7091
O6 0.8761 0.6933 0.1829
O7 0.9344 0.2253 0.2909
O8 0.9344 0.6436 0.7091

Summary:
E_tot = -7.262 eV per atom
V = 12.046 A^3/atom
N(E_F) = 2.40 states/eV/f.u.
mass density = 5.868 g/cm³
M_tot = 0.336 μB per atom



[14]
TbCr2AsO8 | PBE+U | optimized geometry

a = 4.6310 Å, b = 4.6375 Å, c = 6.2928 Å
α = 88.78°, β = 88.77°, γ = 87.53°
Positions (direct):
Tb1 0.0000 0.0000 0.0000
Cr1 0.4988 0.4987 0.2592
Cr2 0.5012 0.5013 0.7408
As1 0.0000 0.0000 0.5000
O1 0.1955 0.8031 0.7109
O2 0.1992 0.8068 0.2891
O3 0.2999 0.3022 0.4945
O4 0.3291 0.3315 0.9886
O5 0.6709 0.6685 0.0114
O6 0.7001 0.6978 0.5055
O7 0.8008 0.1932 0.7109
O8 0.8045 0.1969 0.2891

Summary:
E_tot = -7.075 eV per atom
V = 11.247 A^3/atom
N(E_F) = 0.19 states/eV/f.u.
mass density = 5.732 g/cm³
M_tot = 0.333 μB per atom



[15]
CrTcAsO2 | PBE+U | optimized geometry

a = 3.7810 Å, b = 3.7810 Å, c = 5.4609 Å
α = 90.00°, β = 90.00°, γ = 90.00°
Positions (direct):
Cr1 0.0000 0.0000 0.0000
Tc1 0.5000 0.5000 0.5000
As1 0.5000 0.5000 0.0000
O1 0.0000 0.5000 0.5000
O2 0.5000 0.0000 0.5000

Summary:
E_tot = -7.145 eV per atom
V = 15.613 A^3/atom
N(E_F) = 2.34 states/eV/f.u.
mass density = 5.465 g/cm³
M_tot = 0.837 μB per atom



[16]
TiCrAsO5 | PBE+U | optimized geometry

a = 5.4599 Å, b = 5.4599 Å, c = 7.6596 Å
α = 108.55°, β = 108.55°, γ = 91.41°
Positions (direct):
Ti1 0.0000 0.5000 0.0000
Ti2 0.5000 0.0000 0.5000
Cr1 0.0332 0.9668 0.7500
Cr2 0.9668 0.0332 0.2500
As1 0.4094 0.5906 0.7500
As2 0.5906 0.4094 0.2500
O1 0.1404 0.6708 0.8448
O2 0.2197 0.7803 0.2500
O3 0.2489 0.2545 0.9912
O4 0.2545 0.2489 0.4912
O5 0.3292 0.8596 0.6552
O6 0.6708 0.1404 0.3448
O7 0.7455 0.7511 0.5088
O8 0.7511 0.7455 0.0088
O9 0.7803 0.2197 0.7500
O10 0.8596 0.3292 0.1552

Summary:
E_tot = -7.535 eV per atom
V = 12.700 A^3/atom
mass density = 4.164 g/cm³
M_tot = 0.375 μB per atom



[17]
TlCrAsO4 | PBE+U | optimized geometry

a = 6.0339 Å, b = 6.0339 Å, c = 6.0339 Å
α = 60.00°, β = 60.00°, γ = 60.00°
Positions (direct):
Tl1 0.0000 0.0000 0.0000
Cr1 0.2500 0.2500 0.2500
As1 0.5000 0.5000 0.5000
O1 0.3836 0.3836 0.3836
O2 0.3836 0.3836 0.8493
O3 0.3836 0.8493 0.3836
O4 0.8493 0.3836 0.3836

Summary:
E_tot = -5.975 eV per atom
V = 22.191 A^3/atom
N(E_F) = 5.03 states/eV/f.u.
mass density = 4.226 g/cm³
M_tot = 0.571 μB per atom



[18]
TlCrAs2O8 | PBE+U | optimized geometry

a = 9.0987 Å, b = 9.0987 Å, c = 9.0987 Å
α = 34.59°, β = 34.59°, γ = 34.59°
Positions (direct):
Tl1 0.0000 0.0000 0.0000
Cr1 0.5000 0.5000 0.5000
As1 0.2334 0.2334 0.2334
As2 0.7666 0.7666 0.7666
O1 0.1342 0.6148 0.6148
O2 0.2992 0.2992 0.2992
O3 0.3852 0.3852 0.8658
O4 0.3852 0.8658 0.3852
O5 0.6148 0.1342 0.6148
O6 0.6148 0.6148 0.1342
O7 0.7008 0.7008 0.7008
O8 0.8658 0.3852 0.3852

Summary:
E_tot = -5.893 eV per atom
V = 18.052 A^3/atom
N(E_F) = 8.97 states/eV/f.u.
mass density = 4.095 g/cm³
M_tot = 0.078 μB per atom



[19]
TmCrAsO5 | PBE+U | optimized geometry

a = 5.6752 Å, b = 5.6752 Å, c = 7.8320 Å
α = 101.37°, β = 101.37°, γ = 110.51°
Positions (direct):
Tm1 0.0000 0.0000 0.0000
Tm2 0.0000 0.0000 0.5000
Cr1 0.3098 0.6902 0.7500
Cr2 0.6902 0.3098 0.2500
As1 0.3143 0.6857 0.2500
As2 0.6857 0.3143 0.7500
O1 0.0420 0.6490 0.3313
O2 0.1015 0.8985 0.7500
O3 0.2712 0.4257 0.0766
O4 0.3510 0.9580 0.1687
O5 0.4257 0.2712 0.5766
O6 0.5743 0.7288 0.4234
O7 0.6490 0.0420 0.8313
O8 0.7288 0.5743 0.9234
O9 0.8985 0.1015 0.2500
O10 0.9580 0.3510 0.6687

Summary:
E_tot = -7.254 eV per atom
V = 13.855 A^3/atom
N(E_F) = 0.00 states/eV/f.u.
mass density = 5.631 g/cm³
M_tot = 0.500 μB per atom



[20]
TmCr2AsO8 | PBE+U | optimized geometry

a = 4.6104 Å, b = 4.6104 Å, c = 6.2137 Å
α = 91.17°, β = 91.17°, γ = 88.06°
Positions (direct):
Tm1 0.0000 0.0000 0.0000
Cr1 0.4992 0.4992 0.7427
Cr2 0.5008 0.5008 0.2573
As1 0.0000 0.0000 0.5000
O1 0.1950 0.8038 0.2845
O2 0.1962 0.8050 0.7155
O3 0.3004 0.3004 0.5053
O4 0.3268 0.3268 0.0097
O5 0.6732 0.6732 0.9903
O6 0.6996 0.6996 0.4947
O7 0.8038 0.1950 0.2845
O8 0.8050 0.1962 0.7155

Summary:
E_tot = -7.113 eV per atom
V = 10.996 A^3/atom
N(E_F) = 0.10 states/eV/f.u.
mass density = 5.988 g/cm³
M_tot = 0.333 μB per atom